# 1
Compound: BeSiC2
Source: Alexandria via LeMat-Bulk
Functional: GGA-PBE
Structure: optimized geometry

```
BeSiC2
1.0
3.900 0.000 0.000
0.000 3.900 0.000
1.950 1.950 4.949
C Be Si
4 2 2
direct
0.875 0.863 0.750
0.613 0.125 0.250
0.375 0.387 0.750
0.137 0.625 0.250
0.250 0.750 0.500
0.500 0.500 0.000
0.000 0.000 0.000
0.750 0.250 0.500
```

The space-group type is I-42d, No. 122. Its excess energy over the best structure of this formula in the dataset is 0.000 eV/atom. For the calculated volume, the calculation gives 9.41 Å³/atom. As for the formation energy (no corrections): 621 meV per atom. The calculation puts the theoretical density at 2.7 g/cm³. The calculated total energy comes out at -0.2307 hartree per atom.

# 2
Compound: NaTl4Hg5
Source: Alexandria via LeMat-Bulk
Functional: GGA-PBE
Structure: optimized geometry

```
NaTl4Hg5
1.0
-0.442 -3.816 -0.201
0.572 -0.266 3.794
-18.660 2.005 2.955
Hg Tl Na
5 4 1
direct
0.500 0.500 0.910
0.500 0.500 0.090
0.500 0.500 0.709
0.500 0.500 0.291
0.500 0.500 0.500
0.000 0.000 0.193
0.000 0.000 0.399
0.000 0.000 0.807
0.000 0.000 0.601
0.000 0.000 0.000
```

The space-group type is P4/mmm, No. 123. Its excess energy over the best structure of this formula in the dataset is 0.000 eV/atom. For the calculated volume, the calculation gives 28.11 Å³/atom. The calculation puts the theoretical density at 10.9 g/cm³. The calculated total energy comes out at -0.0475 hartree per atom. As for the energy relative to the elements: -0.06 eV per atom.

> What is the formula in the second record?

NaTl4Hg5